DFT (PBE-GGA) results for a relaxed structure of PmScSi4.

The value obtained for the formation energy without anion corrections is -459 meV/atom. The symmetry is No. 55. The value obtained for the volume is 19.18 A^3/atom.

```
PmScSi4
1.0
-3.7750 0.0137 1.0128
1.9375 -2.9980 7.2626
1.4426 13.5151 5.1942
Pm Sc Si
4 4 16
Direct
0.0000 0.6200 0.3588
0.0000 0.3800 0.6412
0.0000 0.1200 0.1412
0.0000 0.8800 0.8588
0.0000 0.6373 0.0873
0.0000 0.3627 0.9127
0.0000 0.1373 0.4127
0.0000 0.8627 0.5873
0.5000 0.7954 0.1957
0.5000 0.2046 0.8043
0.5000 0.2954 0.3043
0.5000 0.7046 0.6957
0.5000 0.8728 0.0382
0.5000 0.1272 0.9618
0.5000 0.3728 0.4618
0.5000 0.6272 0.5382
0.5000 0.8791 0.4478
0.5000 0.1209 0.5522
0.5000 0.3791 0.0522
0.5000 0.6209 0.9478
0.5000 0.0059 0.2999
0.5000 0.9941 0.7001
0.5000 0.5059 0.2001
0.5000 0.4941 0.7999
```